No. 1
Density functional theory data (SCAN) for Al3Ag at its PBEsol-relaxed geometry.

Output
Energy of formation from the pure elements   -0.02 eV per atom

Cell: 2.8660 2.8660 15.8249 Å, 90.00 90.00 90.00°
With the nearest neighbours (Å) after each atom.
Atoms (fractional coordinates):
Al  0.2500  0.2500  0.0626  12 Al 2.83-2.87
Al  0.2500  0.2500  0.5641  4 Ag 2.84, 8 Al 2.87
Al  0.2500  0.2500  0.8124  4 Ag 2.80, 8 Al 2.83-2.87
Al  0.7500  0.7500  0.1876  4 Ag 2.80, 8 Al 2.83-2.87
Al  0.7500  0.7500  0.4359  4 Ag 2.84, 8 Al 2.87
Al  0.7500  0.7500  0.9374  12 Al 2.83-2.87
Ag  0.2500  0.2500  0.3101  8 Al 2.80-2.84, 4 Ag 2.87
Ag  0.7500  0.7500  0.6899  8 Al 2.80-2.84, 4 Ag 2.87

***

No. 2
Density functional theory data (SCAN) for Al3Ag5 at its PBEsol-relaxed geometry.

Output
Energy of formation from the pure elements   -0.09 eV per atom
Energy above the most stable polymorph in this dataset   0.025 eV per atom

Cell: 5.6104 5.6104 5.6104 Å, 118.13 118.13 93.27°
With the nearest neighbours (Å) after each atom.
Atoms (fractional coordinates):
Al  0.0000  0.0000  0.0000  8 Ag 2.81, 4 Al 2.88
Al  0.0000  0.5000  0.5000  10 Ag 2.81-2.88, 2 Al 2.88
Al  0.5000  0.0000  0.5000  10 Ag 2.81-2.88, 2 Al 2.88
Ag  0.0000  0.0000  0.5000  6 Al 2.81, 6 Ag 2.81-2.88
Ag  0.0000  0.5000  0.0000  6 Al 2.81, 6 Ag 2.81-2.88
Ag  0.5000  0.0000  0.0000  6 Al 2.81, 6 Ag 2.81-2.88
Ag  0.5000  0.5000  0.0000  8 Ag 2.81, 4 Al 2.88
Ag  0.5000  0.5000  0.5000  6 Al 2.81, 6 Ag 2.81-2.88

***

No. 3
Density functional theory data (SCAN) for Al5Ag3 at its PBEsol-relaxed geometry.

Output
Energy of formation from the pure elements   -0.04 eV per atom
Energy above the most stable polymorph in this dataset   0.033 eV per atom

Cell: 8.5629 8.5629 8.5629 Å, 152.96 152.96 38.61°
With the nearest neighbours (Å) after each atom.
Atoms (fractional coordinates):
Al  0.0000  0.0000  0.0000  4 Ag 2.79, 8 Al 2.83-2.88
Al  0.2424  0.2424  0.0000  8 Ag 2.81-2.84, 4 Al 2.89
Al  0.3717  0.8717  0.5000  2 Ag 2.78, 10 Al 2.83-2.89
Al  0.4987  0.4987  0.0000  4 Ag 2.81, 8 Al 2.83-2.87
Al  0.8717  0.3717  0.5000  2 Ag 2.78, 10 Al 2.83-2.89
Ag  0.1207  0.6207  0.5000  6 Al 2.79-2.81, 6 Ag 2.83-2.92
Ag  0.6207  0.1207  0.5000  6 Al 2.79-2.81, 6 Ag 2.83-2.92
Ag  0.7524  0.7524  0.0000  8 Al 2.78-2.84, 4 Ag 2.92

***

No. 4
Density functional theory data (SCAN) for Al3Ag at its PBEsol-relaxed geometry.

Output
Energy of formation from the pure elements   0.03 eV per atom

Cell: 5.5755 5.5755 5.5755 Å, 150.53 60.21 128.77°
With the nearest neighbours (Å) after each atom.
Atoms (fractional coordinates):
Al  0.0000  0.0000  0.0000  4 Ag 2.77-2.82, 8 Al 2.84-2.92
Al  0.0934  0.3414  0.7520  9 Al 2.80-2.92, 3 Ag 2.89-2.92
Al  0.5894  0.3414  0.2480  9 Al 2.80-2.92, 3 Ag 2.89-2.92
Ag  0.5065  0.0065  0.5000  10 Al 2.77-2.92, 2 Ag 2.84

***

No. 5
Density functional theory data (SCAN) for Al2Ag3 at its PBEsol-relaxed geometry.

Output
Energy of formation from the pure elements   -0.09 eV per atom
Energy above the most stable polymorph in this dataset   0.008 eV per atom

Cell: 4.9098 5.7815 6.2267 Å, 104.21 95.66 107.77°
With the nearest neighbours (Å) after each atom.
Atoms (fractional coordinates):
Al  0.0000  0.0000  0.0000  8 Ag 2.72-2.94, 4 Al 2.82-2.91
Al  0.0154  0.5082  0.0047  7 Ag 2.72-2.83, 5 Al 2.82-2.91
Al  0.2128  0.4149  0.4060  9 Ag 2.74-2.91, 3 Al 2.82-2.87
Al  0.4104  0.2951  0.7996  8 Ag 2.73-2.96, 4 Al 2.82-2.87
Ag  0.2118  0.9125  0.3927  5 Al 2.76-2.90, 7 Ag 2.83-2.97
Ag  0.3896  0.8020  0.8017  6 Al 2.73-2.96, 6 Ag 2.80-2.90
Ag  0.6044  0.6943  0.1907  5 Al 2.76-2.79, 7 Ag 2.83-2.96
Ag  0.6266  0.2123  0.1935  6 Al 2.72-2.94, 6 Ag 2.80-2.96
Ag  0.7919  0.5988  0.6083  5 Al 2.73-2.86, 7 Ag 2.81-2.97
Ag  0.8252  0.1172  0.6149  5 Al 2.73-2.80, 7 Ag 2.83-2.96

***

No. 6
Density functional theory data (SCAN) for Al5Ag4 at its PBEsol-relaxed geometry.

Output
Energy of formation from the pure elements   -0.07 eV per atom
Energy above the most stable polymorph in this dataset   0.000 eV per atom

Cell: 4.9738 4.9738 7.2866 Å, 89.42 70.88 60.11°
With the nearest neighbours (Å) after each atom.
Atoms (fractional coordinates):
Al  0.0000  0.0000  0.0000  4 Ag 2.75-2.77, 8 Al 2.84-2.89
Al  0.2134  0.2336  0.6603  8 Ag 2.75-2.89, 4 Al 2.82-2.85
Al  0.3300  0.3349  0.9990  4 Ag 2.76, 8 Al 2.82-2.89
Al  0.6700  0.6651  0.0010  4 Ag 2.76, 8 Al 2.82-2.89
Al  0.7866  0.7664  0.3397  8 Ag 2.75-2.89, 4 Al 2.82-2.85
Ag  0.1277  0.0976  0.3244  7 Al 2.75-2.88, 5 Ag 2.85-2.99
Ag  0.4567  0.4301  0.3262  7 Al 2.75-2.89, 5 Ag 2.85-2.99
Ag  0.5433  0.5699  0.6738  7 Al 2.75-2.89, 5 Ag 2.85-2.99
Ag  0.8723  0.9024  0.6756  7 Al 2.75-2.88, 5 Ag 2.85-2.99

***

No. 7
Density functional theory data (SCAN) for AlAgAs at its PBEsol-relaxed geometry.

Output
Energy of formation from the pure elements   0.13 eV per atom
Energy above the most stable polymorph in this dataset   0.098 eV per atom

Cell: 4.7631 4.7631 2.7829 Å, 90.00 90.00 120.00°
With the nearest neighbours (Å) after each atom.
Atoms (fractional coordinates):
Al  0.0000  0.0000  0.0000  3 As 2.75, 3 Ag 2.75, 2 Al 2.78
Ag  0.3333  0.6667  0.9943  3 As 2.75, 3 Al 2.75, 2 Ag 2.78
As  0.6667  0.3333  0.9992  3 Al 2.75, 3 Ag 2.75, 2 As 2.78

***

No. 8
Density functional theory data (SCAN) for AlAgAs2 at its PBEsol-relaxed geometry.

Output
Energy of formation from the pure elements   0.02 eV per atom
Energy above the most stable polymorph in this dataset   0.078 eV per atom

Cell: 6.8711 6.8711 6.8711 Å, 129.56 129.56 74.11°
With the nearest neighbours (Å) after each atom.
Atoms (fractional coordinates):
Al  0.0000  0.0000  0.0000  4 As 2.46
Al  0.7500  0.2500  0.5000  4 As 2.46
Ag  0.2500  0.7500  0.5000  4 As 2.51
Ag  0.5000  0.5000  0.0000  4 As 2.51
As  0.1175  0.6250  0.9925  2 Al 2.46, 2 Ag 2.51
As  0.3750  0.3675  0.4925  2 Al 2.46, 2 Ag 2.51
As  0.6325  0.1250  0.0075  2 Al 2.46, 2 Ag 2.51
As  0.8750  0.8825  0.5075  2 Al 2.46, 2 Ag 2.51

***

Number 1: theoretical density 4.8 g cm⁻³. Number 2: theoretical density 8.0 g cm⁻³. Number 3: theoretical density 5.9 g cm⁻³. Number 4: theoretical density 4.8 g cm⁻³. Number 5: theoretical density 7.8 g cm⁻³. Number 6: theoretical density 6.5 g cm⁻³. Number 7: theoretical density 6.4 g cm⁻³. Number 8: theoretical density 5.0 g cm⁻³.